(1)
# PBE-GGA Zn3CdGa3, optimized geometry
# Total magnetization ... 0.000 μB/f.u.
# DFT total energy ... -1.9000 eV per atom
# Energy relative to the elements ... 0.07 eV per atom
# ΔE to the lowest computed polymorph ... 0 meV per atom
data_Zn3CdGa3
_chemical_formula_sum 'Zn6 Cd2 Ga6'
_cell_length_a 7.8924
_cell_length_b 7.8924
_cell_length_c 4.8872
_cell_angle_alpha 90.00
_cell_angle_beta 90.00
_cell_angle_gamma 120.00
_symmetry_space_group_name_H-M 'P 63/m m c'
_symmetry_Int_Tables_number 194
_symmetry_space_group_name_Hall '-P 6c 2c'
loop_
_atom_site_label
_atom_site_type_symbol
_atom_site_fract_x
_atom_site_fract_y
_atom_site_fract_z
Zn1 Zn 0.0932 0.5466 0.2500
Cd1 Cd 0.3333 0.6667 0.7500
Ga1 Ga 0.1131 0.2262 0.2500

---

(2)
# PBE-GGA LiOsI2N, optimized geometry
# Total magnetization ... 0.001 μB/f.u.
# DFT total energy ... -3.2942 eV per atom
# Formation energy without anion corrections ... 1.6196 eV per atom
# ΔE to the lowest computed polymorph ... 1548 meV per atom
data_LiOsI2N
_chemical_formula_sum 'Li1 Os1 I2 N1'
_cell_length_a 5.107
_cell_length_b 5.107
_cell_length_c 3.413
_cell_angle_alpha 90.00
_cell_angle_beta 90.00
_cell_angle_gamma 90.00
_symmetry_space_group_name_H-M 'P 4/m m m'
_symmetry_Int_Tables_number 123
_symmetry_space_group_name_Hall '-P 4 2'
loop_
_atom_site_label
_atom_site_type_symbol
_atom_site_fract_x
_atom_site_fract_y
_atom_site_fract_z
Li1 Li 0.000 0.000 0.000
Os1 Os 0.500 0.500 0.500
I1 I 0.000 0.500 0.000
N1 N 0.000 0.000 0.500

---

(3)
# PBE-GGA Y2GaC, optimized geometry
# Total magnetization ... 0.000 μB/f.u.
# DFT total energy ... -6.3945 eV per atom
# Energy relative to the elements ... -0.10 eV per atom
data_Y2GaC
_chemical_formula_sum 'Y8 Ga4 C4'
_cell_length_a 7.009
_cell_length_b 7.009
_cell_length_c 7.309
_cell_angle_alpha 90.00
_cell_angle_beta 90.00
_cell_angle_gamma 90.00
_symmetry_space_group_name_H-M 'I -4 2 d'
_symmetry_Int_Tables_number 122
_symmetry_space_group_name_Hall 'I -4 2bw'
loop_
_atom_site_label
_atom_site_type_symbol
_atom_site_fract_x
_atom_site_fract_y
_atom_site_fract_z
Y1 Y 0.179 0.250 0.125
Ga1 Ga 0.000 0.000 0.500
C1 C 0.000 0.000 0.000

---

(4)
# PBE-GGA HRhO2, optimized geometry
# Total magnetization ... 0.000 μB/f.u.
# DFT total energy ... -5.5726 eV per atom
data_HRhO2
_chemical_formula_sum 'H16 Rh16 O32'
_cell_length_a 9.792
_cell_length_b 9.413
_cell_length_c 8.271
_cell_angle_alpha 90.00
_cell_angle_beta 103.53
_cell_angle_gamma 90.00
_symmetry_space_group_name_H-M 'C 1 2/c 1'
_symmetry_Int_Tables_number 15
loop_
_symmetry_equiv_pos_as_xyz
'x,y,z'
'-x,-y,-z'
'-x,y,-z+1/2'
'x,-y,z+1/2'
'x+1/2,y+1/2,z'
'-x+1/2,-y+1/2,-z'
'-x+1/2,y+1/2,-z+1/2'
'x+1/2,-y+1/2,z+1/2'
loop_
_atom_site_label
_atom_site_type_symbol
_atom_site_fract_x
_atom_site_fract_y
_atom_site_fract_z
H1 H 0.014 0.152 0.480
H2 H 0.239 0.022 0.160
Rh1 Rh 0.148 0.043 0.794
Rh2 Rh 0.158 0.350 0.707
O1 O 0.000 0.107 0.250
O2 O 0.000 0.445 0.750
O3 O 0.016 0.167 0.601
O4 O 0.231 0.423 0.536
O5 O 0.233 0.286 0.164

---

(5)
# PBE-GGA LaEr2Te3, optimized geometry
# Total magnetization ... 0.000 μB/f.u.
# DFT total energy ... -5.2439 eV per atom
# Formation energy without anion corrections ... -1.3309 eV per atom
data_LaEr2Te3
_chemical_formula_sum 'La2 Er4 Te6'
_cell_length_a 4.379
_cell_length_b 6.244
_cell_length_c 13.308
_cell_angle_alpha 90.00
_cell_angle_beta 90.00
_cell_angle_gamma 90.00
_symmetry_space_group_name_H-M 'I m m m'
_symmetry_Int_Tables_number 71
_symmetry_space_group_name_Hall '-I 2 2'
loop_
_atom_site_label
_atom_site_type_symbol
_atom_site_fract_x
_atom_site_fract_y
_atom_site_fract_z
La1 La 0.000 0.000 0.000
Er1 Er 0.000 0.000 0.342
Te1 Te 0.000 0.500 0.000
Te2 Te 0.000 0.500 0.320

---

(6)
# PBE-GGA TaRhIO2, optimized geometry
# Total magnetization ... 0.000 μB/f.u.
# DFT total energy ... -5.4296 eV per atom
# Formation energy without anion corrections ... 0.7045 eV per atom
# ΔE to the lowest computed polymorph ... 1734 meV per atom
data_TaRhIO2
_chemical_formula_sum 'Ta1 Rh1 I1 O2'
_cell_length_a 4.033
_cell_length_b 4.033
_cell_length_c 5.157
_cell_angle_alpha 90.00
_cell_angle_beta 90.00
_cell_angle_gamma 90.00
_symmetry_space_group_name_H-M 'P 4/m m m'
_symmetry_Int_Tables_number 123
_symmetry_space_group_name_Hall '-P 4 2'
loop_
_atom_site_label
_atom_site_type_symbol
_atom_site_fract_x
_atom_site_fract_y
_atom_site_fract_z
Ta1 Ta 0.000 0.000 0.000
Rh1 Rh 0.500 0.500 0.500
I1 I 0.500 0.500 0.000
O1 O 0.000 0.500 0.500

---

> Look up the DFT total energy of the second one.

-3.2942 eV per atom